Here is a relaxed structure of MnZnSi2O6 from Alexandria via LeMat-Bulk. Energies are from GGA+U.

Its total energy is -7.239 eV/atom. As for the energy above the most stable polymorph in this dataset: 0.000 eV per atom.

Cell and atoms, written as POSCAR:
```
MnZnSi2O6
1.0
5.0054 -4.7710 0.0000
5.0054 4.7710 0.0000
-1.9924 0.0000 5.0518
Mn Zn Si O
2 2 4 12
Direct
0.1074 0.8926 0.7500
0.8926 0.1074 0.2500
0.2352 0.7648 0.2500
0.7648 0.2352 0.7500
0.2203 0.3853 0.7846
0.3853 0.2203 0.2846
0.6147 0.7797 0.7154
0.7797 0.6147 0.2154
0.0391 0.2125 0.6622
0.1498 0.6152 0.8813
0.2125 0.0391 0.1622
0.3321 0.3732 0.5476
0.3732 0.3321 0.0476
0.3848 0.8502 0.6187
0.6152 0.1498 0.3813
0.6268 0.6679 0.9524
0.6679 0.6268 0.4524
0.7875 0.9609 0.8378
0.8502 0.3848 0.1187
0.9609 0.7875 0.3378
```